Mg5CrO6 after structural relaxation, computed with PBE+U.

a = 5.215 Å, b = 9.197 Å, c = 5.212 Å
α = 90.00°, β = 107.84°, γ = 90.00°
Space group C2/m (No. 12)
Symmetry-distinct sites (fractional):
Mg1 0.000 0.000 0.000
Mg2 0.000 0.169 0.500
Mg3 0.000 0.333 0.000
Cr1 0.000 0.500 0.500
O1 0.239 0.172 0.243
O2 0.248 0.500 0.250

Results
As for the uncorrected energy: -75.06 eV per formula unit. The density comes out at 3.76 Mg/m³.